A geometry-optimized Nd2InGa2 structure. Source: Alexandria via LeMat-Bulk, functional PBE.

Lattice parameters (Å, degrees): 7.338 7.338 4.342 90.00 90.00 147.08
Atoms (fractional coordinates):
Nd 0.132 0.868 0.000
Nd 0.868 0.132 0.000
In 0.500 0.500 0.500
Ga 0.299 0.701 0.500
Ga 0.701 0.299 0.500

A geometry-optimized Nd5In2Ga structure. Source: Alexandria via LeMat-Bulk, functional PBE.

Lattice parameters (Å, degrees): 6.864 13.313 5.258 90.00 90.00 90.00
Atoms (fractional coordinates):
Nd 0.000 0.000 0.000
Nd 0.127 0.280 0.000
Nd 0.163 0.596 0.500
Nd 0.337 0.096 0.500
Nd 0.373 0.780 0.000
Nd 0.500 0.500 0.000
Nd 0.627 0.220 0.000
Nd 0.663 0.904 0.500
Nd 0.837 0.404 0.500
Nd 0.873 0.720 0.000
In 0.127 0.850 0.500
In 0.373 0.350 0.500
In 0.627 0.650 0.500
In 0.873 0.150 0.500
Ga 0.000 0.500 0.000
Ga 0.500 0.000 0.000

A geometry-optimized Nd6In2Ga structure. Source: Alexandria via LeMat-Bulk, functional PBE.

Lattice parameters (Å, degrees): 9.115 9.115 9.115 146.46 131.76 60.03
Atoms (fractional coordinates):
Nd 0.081 0.338 0.743
Nd 0.236 0.000 0.236
Nd 0.405 0.662 0.743
Nd 0.595 0.338 0.257
Nd 0.764 0.000 0.764
Nd 0.919 0.662 0.257
In 0.335 0.835 0.500
In 0.665 0.165 0.500
Ga 0.000 0.500 0.500

no.,total moment (Bohr magnetons per cell),energy above the most stable polymorph in this dataset (eV/atom),energy of formation (eV per atom)
1,0.0,0.009,-0.606
2,0.0,0.000,-0.408
3,0.0,0.199,-0.148